CaMnN2O after structural relaxation. Source: Alexandria, functional PBE with a Hubbard U.

The structure in extended XYZ format:
```
5
Lattice="4.305 0.000 0.000 0.000 4.305 0.000 0.000 0.000 4.254" Properties=species:S:1:pos:R:3 pbc="T T T"
Ca 0.000 0.000 0.000
Mn 2.152 2.152 2.127
N 0.000 2.152 0.000
N 2.152 0.000 0.000
O 0.000 0.000 2.127
```

## Properties
* N(E_F): 1.14 states/eV per atom
* SG: P4/mmm
* calculated density: 2.93 g cm⁻³
* uncorrected energy: -22.2 eV for the cell shown